1.
# PBE Ho4SnPb3, optimized geometry
data_Ho4SnPb3
_chemical_formula_sum 'Ho8 Sn2 Pb6'
_cell_length_a 11.038
_cell_length_b 6.362
_cell_length_c 6.362
_cell_angle_alpha 90.00
_cell_angle_beta 90.00
_cell_angle_gamma 90.00
_space_group_name_H-M_alt 'P m n a'
_space_group_IT_number 53
_space_group_name_Hall '-P 2ac 2'
loop_
_atom_site_label
_atom_site_fract_x
_atom_site_fract_y
_atom_site_fract_z
Ho1 0.000 0.000 0.000
Ho2 0.000 0.500 0.500
Ho3 0.250 0.245 0.250
Sn1 0.000 0.000 0.500
Pb1 0.000 0.500 0.000
Pb2 0.250 0.253 0.750
# density of states at the Fermi level = 10.0 states/eV/cell
# raw total energy = -4.652 eV/atom
# energy relative to the elements = -0.472 eV per atom

***

2.
# PBE HoSnPb2, optimized geometry
data_HoSnPb2
_chemical_formula_sum 'Ho1 Sn1 Pb2'
_cell_length_a 4.803
_cell_length_b 4.803
_cell_length_c 4.865
_cell_angle_alpha 90.00
_cell_angle_beta 90.00
_cell_angle_gamma 90.00
_space_group_name_H-M_alt 'P 4/m m m'
_space_group_IT_number 123
_space_group_name_Hall '-P 4 2'
loop_
_atom_site_label
_atom_site_fract_x
_atom_site_fract_y
_atom_site_fract_z
Ho1 0.000 0.000 0.000
Sn1 0.500 0.500 0.000
Pb1 0.000 0.500 0.500
# density of states at the Fermi level = 2.6 states/eV/cell
# E above lowest polymorph = 0.000 eV/atom
# raw total energy = -4.297 eV/atom
# energy relative to the elements = -0.298 eV per atom

***

3.
# PBE HoSnPb2, optimized geometry
data_HoSnPb2
_chemical_formula_sum 'Ho1 Sn1 Pb2'
_cell_length_a 4.190
_cell_length_b 4.190
_cell_length_c 6.506
_cell_angle_alpha 90.00
_cell_angle_beta 90.00
_cell_angle_gamma 90.00
_space_group_name_H-M_alt 'P 4/m m m'
_space_group_IT_number 123
_space_group_name_Hall '-P 4 2'
loop_
_atom_site_label
_atom_site_fract_x
_atom_site_fract_y
_atom_site_fract_z
Ho1 0.000 0.000 0.000
Sn1 0.000 0.000 0.500
Pb1 0.500 0.500 0.248
# density of states at the Fermi level = 1.8 states/eV/cell
# E above lowest polymorph = 0.081 eV/atom
# raw total energy = -4.216 eV/atom
# energy relative to the elements = -0.217 eV per atom

***

4.
# PBE Ho3SnPb, optimized geometry
data_Ho3SnPb
_chemical_formula_sum 'Ho6 Sn2 Pb2'
_cell_length_a 6.019
_cell_length_b 6.461
_cell_length_c 8.359
_cell_angle_alpha 104.42
_cell_angle_beta 108.63
_cell_angle_gamma 100.56
_space_group_name_H-M_alt 'P 1'
_space_group_IT_number 1
_space_group_name_Hall 'P 1'
loop_
_atom_site_label
_atom_site_fract_x
_atom_site_fract_y
_atom_site_fract_z
Ho1 0.000 0.000 0.000
Ho2 0.057 0.205 0.639
Ho3 0.310 0.618 0.087
Ho4 0.369 0.829 0.736
Ho5 0.624 0.211 0.174
Ho6 0.748 0.618 0.556
Sn1 0.184 0.419 0.366
Sn2 0.895 0.770 0.270
Pb1 0.467 0.050 0.458
Pb2 0.684 0.417 0.867
# density of states at the Fermi level = 9.3 states/eV/cell
# raw total energy = -4.648 eV/atom
# energy relative to the elements = -0.359 eV per atom

***

5.
# PBE Ho8Sn5Pb, optimized geometry
data_Ho8Sn5Pb
_chemical_formula_sum 'Ho16 Sn10 Pb2'
_cell_length_a 9.265
_cell_length_b 9.265
_cell_length_c 9.269
_cell_angle_alpha 90.00
_cell_angle_beta 90.00
_cell_angle_gamma 90.00
_space_group_name_H-M_alt 'I -4'
_space_group_IT_number 82
_space_group_name_Hall 'I -4'
loop_
_atom_site_label
_atom_site_fract_x
_atom_site_fract_y
_atom_site_fract_z
Ho1 0.071 0.180 0.194
Ho2 0.071 0.323 0.554
Sn1 0.000 0.500 0.250
Sn2 0.125 0.250 0.874
Pb1 0.000 0.000 0.500
# density of states at the Fermi level = 2.3 states/eV/cell
# raw total energy = -4.996 eV/atom
# energy relative to the elements = -0.685 eV per atom

***

6.
# PBE HoSnPb2, optimized geometry
data_HoSnPb2
_chemical_formula_sum 'Ho3 Sn3 Pb6'
_cell_length_a 3.4965
_cell_length_b 3.4965
_cell_length_c 35.6581
_cell_angle_alpha 90.00
_cell_angle_beta 90.00
_cell_angle_gamma 120.00
_space_group_name_H-M_alt 'R -3 m'
_space_group_IT_number 166
_space_group_name_Hall '-R 3 2"'
loop_
_atom_site_label
_atom_site_fract_x
_atom_site_fract_y
_atom_site_fract_z
Ho1 0.0000 0.0000 0.0000
Sn1 0.0000 0.0000 0.5000
Pb1 0.0000 0.0000 0.0890
# density of states at the Fermi level = 7.9 states/eV/cell
# E above lowest polymorph = 0.422 eV/atom
# raw total energy = -3.876 eV/atom
# energy relative to the elements = 0.124 eV per atom

***

7.
# PBE Ho8SnPb5, optimized geometry
data_Ho8SnPb5
_chemical_formula_sum 'Ho16 Sn2 Pb10'
_cell_length_a 9.342
_cell_length_b 9.342
_cell_length_c 9.341
_cell_angle_alpha 90.00
_cell_angle_beta 90.00
_cell_angle_gamma 90.00
_space_group_name_H-M_alt 'I -4'
_space_group_IT_number 82
_space_group_name_Hall 'I -4'
loop_
_atom_site_label
_atom_site_fract_x
_atom_site_fract_y
_atom_site_fract_z
Ho1 0.070 0.182 0.195
Ho2 0.070 0.321 0.552
Sn1 0.000 0.500 0.250
Pb1 0.000 0.000 0.500
Pb2 0.124 0.250 0.874
# density of states at the Fermi level = 2.5 states/eV/cell
# raw total energy = -4.781 eV/atom
# energy relative to the elements = -0.555 eV per atom

***

8.
# PBE Ho5SnPb4, optimized geometry
data_Ho5SnPb4
_chemical_formula_sum 'Ho10 Sn2 Pb8'
_cell_length_a 9.889
_cell_length_b 9.889
_cell_length_c 6.254
_cell_angle_alpha 90.00
_cell_angle_beta 90.00
_cell_angle_gamma 90.00
_space_group_name_H-M_alt 'I 4/m'
_space_group_IT_number 87
_space_group_name_Hall '-I 4'
loop_
_atom_site_label
_atom_site_fract_x
_atom_site_fract_y
_atom_site_fract_z
Ho1 0.000 0.000 0.000
Ho2 0.100 0.295 0.500
Sn1 0.000 0.000 0.500
Pb1 0.097 0.302 0.000
# density of states at the Fermi level = 17.5 states/eV/cell
# raw total energy = -4.515 eV/atom
# energy relative to the elements = -0.342 eV per atom

***

9.
# PBE SrHoSnPb, optimized geometry
data_SrHoSnPb
_chemical_formula_sum 'Sr4 Ho4 Sn4 Pb4'
_cell_length_a 7.869
_cell_length_b 7.869
_cell_length_c 7.869
_cell_angle_alpha 90.00
_cell_angle_beta 90.00
_cell_angle_gamma 90.00
_space_group_name_H-M_alt 'F -4 3 m'
_space_group_IT_number 216
_space_group_name_Hall 'F -4 2 3'
loop_
_atom_site_label
_atom_site_fract_x
_atom_site_fract_y
_atom_site_fract_z
Sr1 0.000 0.000 0.000
Ho1 0.000 0.000 0.500
Sn1 0.250 0.250 0.250
Pb1 0.250 0.250 0.750
# density of states at the Fermi level = 9.6 states/eV/cell
# raw total energy = -3.931 eV/atom
# energy relative to the elements = -0.439 eV per atom

***

10.
# PBE TbHoSnPb, optimized geometry
data_TbHoSnPb
_chemical_formula_sum 'Tb4 Ho4 Sn4 Pb4'
_cell_length_a 7.643
_cell_length_b 7.643
_cell_length_c 7.643
_cell_angle_alpha 90.00
_cell_angle_beta 90.00
_cell_angle_gamma 90.00
_space_group_name_H-M_alt 'F -4 3 m'
_space_group_IT_number 216
_space_group_name_Hall 'F -4 2 3'
loop_
_atom_site_label
_atom_site_fract_x
_atom_site_fract_y
_atom_site_fract_z
Tb1 0.000 0.000 0.000
Ho1 0.000 0.000 0.500
Sn1 0.250 0.250 0.750
Pb1 0.250 0.250 0.250
# density of states at the Fermi level = 12.5 states/eV/cell
# raw total energy = -4.690 eV/atom
# energy relative to the elements = -0.461 eV per atom

***

11.
# PBE Ho6SnTe3Pb2, optimized geometry
data_Ho6SnTe3Pb2
_chemical_formula_sum 'Ho12 Sn2 Te6 Pb4'
_cell_length_a 19.166
_cell_length_b 4.398
_cell_length_c 8.789
_cell_angle_alpha 90.00
_cell_angle_beta 103.52
_cell_angle_gamma 90.00
_space_group_name_H-M_alt 'C 1 2/m 1'
_space_group_IT_number 12
_space_group_name_Hall '-C 2y'
loop_
_atom_site_label
_atom_site_fract_x
_atom_site_fract_y
_atom_site_fract_z
Ho1 0.002 0.000 0.241
Ho2 0.163 0.500 0.088
Ho3 0.169 0.500 0.577
Sn1 0.000 0.500 0.000
Te1 0.000 0.500 0.500
Te2 0.167 0.000 0.833
Pb1 0.167 0.000 0.333
# uncorrected formation energy = -0.944 eV/atom
# density of states at the Fermi level = 5.9 states/eV/cell
# raw total energy = -4.970 eV/atom

***

12.
# PBE HoThSnPb, optimized geometry
data_HoThSnPb
_chemical_formula_sum 'Ho4 Th4 Sn4 Pb4'
_cell_length_a 7.719
_cell_length_b 7.719
_cell_length_c 7.719
_cell_angle_alpha 90.00
_cell_angle_beta 90.00
_cell_angle_gamma 90.00
_space_group_name_H-M_alt 'F -4 3 m'
_space_group_IT_number 216
_space_group_name_Hall 'F -4 2 3'
loop_
_atom_site_label
_atom_site_fract_x
_atom_site_fract_y
_atom_site_fract_z
Ho1 0.000 0.000 0.000
Th1 0.000 0.000 0.500
Sn1 0.250 0.250 0.750
Pb1 0.250 0.250 0.250
# density of states at the Fermi level = 26.6 states/eV/cell
# raw total energy = -5.276 eV/atom
# energy relative to the elements = -0.349 eV per atom